A plane-wave DFT calculation with meta-GGA SCAN was carried out for a crystal of PPbI2O relaxed with PBEsol.

Geometry as POSCAR:
```
PPbI2O
1.0
6.107 0.000 0.000
0.000 6.107 0.000
0.000 0.000 4.117
P Pb I O
1 1 2 1
direct
0.000 0.000 0.000
0.500 0.500 0.500
0.000 0.500 0.500
0.500 0.000 0.500
0.500 0.500 0.000
```

Computed properties:
Space group: P4/mmm (123)
Excess energy over the best structure of this formula in the dataset (meV per atom): 683
Crystal system: tetragonal
DOS at the Fermi energy (states/eV/f.u.): 3.59
Raw formation energy (kJ per mole of atoms): 45